[1]
The following is a DFT calculation (PBE-GGA) of a relaxed LiRh2Au crystal.

The structure in extended XYZ format:
```
4
Lattice="1.385 0.800 9.036 -1.385 0.800 9.036 0.000 -1.599 9.036" Properties=species:S:1:pos:R:3 pbc="T T T"
Li 0.000 0.000 0.000
Rh 0.000 0.000 13.343
Rh 0.000 0.000 20.233
Au 0.000 0.000 6.776
```

## Properties
offset from the most stable computed form: 0.076 eV per atom



[2]
The following is a DFT calculation (PBE-GGA) of a relaxed Li5RhAu6 crystal.

The structure in extended XYZ format:
```
12
Lattice="-2.119 3.458 6.323 2.119 -3.458 6.323 2.119 3.458 -6.323" Properties=species:S:1:pos:R:3 pbc="T T T"
Li 0.000 0.000 0.000
Li 2.119 0.000 2.167
Li 0.000 0.000 4.380
Li 0.000 0.000 8.266
Li 0.000 3.458 4.156
Rh 0.000 3.458 0.000
Au 2.119 -1.803 4.195
Au 2.119 1.622 0.000
Au 0.000 1.654 2.128
Au 2.119 1.803 4.195
Au 0.000 1.836 6.323
Au 0.000 5.261 2.128
```

## Properties
total energy: -3.469 eV per atom



[3]
The following is a DFT calculation (PBE-GGA) of a relaxed Li7RhAu3 crystal.

The structure in extended XYZ format:
```
22
Lattice="1.407 -10.401 0.000 1.407 10.401 0.000 0.000 0.000 12.065" Properties=species:S:1:pos:R:3 pbc="T T T"
Li 1.407 9.444 7.154
Li 1.407 9.444 10.944
Li 1.407 8.634 1.554
Li 1.407 8.634 4.479
Li 1.407 7.572 9.049
Li 1.407 5.595 1.263
Li 1.407 5.595 4.769
Li 1.407 -5.595 7.296
Li 1.407 -5.595 10.802
Li 1.407 -7.572 3.016
Li 1.407 -8.634 7.587
Li 1.407 -8.634 10.511
Li 1.407 -9.444 1.121
Li 1.407 -9.444 4.911
Rh 1.407 0.028 9.049
Rh 1.407 -0.028 3.016
Au 1.407 3.451 9.049
Au 1.407 3.121 0.470
Au 1.407 3.121 5.562
Au 1.407 -3.121 6.503
Au 1.407 -3.121 11.595
Au 1.407 -3.451 3.016
```

## Properties
total energy: -3.118 eV per atom



[4]
The following is a DFT calculation (PBE-GGA) of a relaxed LiRh2Au crystal.

The structure in extended XYZ format:
```
4
Lattice="2.775 0.000 0.000 0.000 2.775 0.000 0.000 0.000 7.715" Properties=species:S:1:pos:R:3 pbc="T T T"
Li 0.000 0.000 0.000
Rh 0.000 0.000 3.657
Rh 1.387 1.387 1.901
Au 1.387 1.387 5.812
```

## Properties
offset from the most stable computed form: 0.017 eV per atom



[5]
The following is a DFT calculation (PBE-GGA) of a relaxed Li2RhAu2 crystal.

The structure in extended XYZ format:
```
10
Lattice="6.852 0.000 0.000 0.000 6.852 0.000 0.000 0.000 3.063" Properties=species:S:1:pos:R:3 pbc="T T T"
Li 0.849 2.577 0.000
Li 2.577 6.003 0.000
Li 4.275 0.849 0.000
Li 6.003 4.275 0.000
Rh 0.000 0.000 0.000
Rh 3.426 3.426 0.000
Au 1.232 4.658 1.532
Au 2.194 1.232 1.532
Au 4.658 5.620 1.532
Au 5.620 2.194 1.532
```

## Properties
offset from the most stable computed form: 0.000 eV per atom



[6]
The following is a DFT calculation (PBE-GGA) of a relaxed LiRh2Au crystal.

The structure in extended XYZ format:
```
4
Lattice="1.376 0.794 9.200 -1.376 0.794 9.200 0.000 -1.588 9.200" Properties=species:S:1:pos:R:3 pbc="T T T"
Li 0.000 0.000 0.000
Rh 0.000 0.000 7.032
Rh 0.000 0.000 20.567
Au 0.000 0.000 13.800
```

## Properties
offset from the most stable computed form: 0.193 eV per atom



Number 1: DOS at the Fermi energy 4.70 states/eV/cell, total magnetization 0.10 μB/f.u., mass density 11.332 g/cm3. Number 2: DOS at the Fermi energy 3.46 states/eV/cell, total magnetization 0.00 μB/f.u., mass density 11.823 g/cm3. Number 3: DOS at the Fermi energy 6.66 states/eV/cell, total magnetization 0.24 μB/f.u., mass density 6.981 g/cm3. Number 4: DOS at the Fermi energy 3.82 states/eV/cell, total magnetization 0.00 μB/f.u., mass density 11.451 g/cm3. Number 5: DOS at the Fermi energy 5.00 states/eV/cell, total magnetization 0.00 μB/f.u., mass density 11.793 g/cm3. Number 6: DOS at the Fermi energy 6.15 states/eV/cell, total magnetization 1.08 μB/f.u., mass density 11.282 g/cm3.